No. 1
DFT (PBE) results for an optimized crystal structure of MgPaNbO6.

Summary:
E = -0.31407 Ha/atom
calculated volume = 13.28 A^3/atom
ΔE_f (raw) = -2.89 eV per atom
DOS(E_F) = 0.00 states/eV per atom

Structure (extended XYZ):
```
18
Lattice="-4.8903 -2.5508 0.7033 4.0015 -2.4371 -2.9941 3.1180 -3.9438 7.3772" Properties=species:S:1:pos:R:3 pbc="T T T"
Mg 0.0000 0.0000 0.0000
Mg 1.5590 -1.9719 3.6886
Pa 1.8171 -3.4609 0.0827
Pa 0.4121 -5.4707 5.0037
Nb -1.1469 -3.4988 1.3151
Nb 3.3761 -5.4328 3.7713
O -0.2681 -3.7890 -0.4857
O -3.0345 -3.8295 0.6619
O 4.2509 -5.7282 1.9694
O 5.2638 -5.1021 4.4245
O 0.7429 -3.1732 1.9647
O -1.0586 -5.5153 1.4740
O 3.4705 -7.4492 3.9276
O -2.0217 -3.2034 3.1170
O 3.2878 -3.4163 3.6124
O -1.2412 -1.4824 1.1588
O 1.4863 -5.7585 3.1217
O 2.4973 -5.1426 5.5720
```


No. 2
DFT (PBE) results for an optimized crystal structure of Mg2PaNbO8.

Summary:
E = -0.28411 Ha/atom
calculated volume = 12.73 A^3/atom
ΔE_f (raw) = -2.53 eV per atom
DOS(E_F) = 0.59 states/eV per atom

Structure (extended XYZ):
```
12
Lattice="4.7886 -0.0440 -0.0029 -0.0178 4.7913 -0.0052 0.0039 0.0074 6.6593" Properties=species:S:1:pos:R:3 pbc="T T T"
Mg 2.3884 2.3793 5.0506
Mg 2.3863 2.3754 1.6006
Pa 0.0020 0.0037 3.3297
Nb 0.0000 0.0000 0.0000
O 0.9149 3.8525 1.5177
O 3.3518 3.3395 -0.0056
O 3.8578 0.8982 1.5191
O 3.8598 0.9022 5.1335
O 1.4229 1.4151 6.6569
O 0.9169 3.8564 5.1321
O 3.3170 3.3057 3.3240
O 1.4577 1.4489 3.3272
```


No. 3
DFT (PBE) results for an optimized crystal structure of MgNbPbO6.

Summary:
E = -0.24497 Ha/atom
calculated volume = 12.87 A^3/atom
ΔE_f (raw) = -1.65 eV per atom
DOS(E_F) = 0.37 states/eV per atom

Structure (extended XYZ):
```
18
Lattice="-4.5812 0.8397 2.8622 0.8875 -4.8407 -2.3799 4.1006 -2.8923 7.4120" Properties=species:S:1:pos:R:3 pbc="T T T"
Mg 0.0000 0.0000 0.0000
Mg 2.0503 -1.4461 3.7060
Nb -1.7331 -1.7769 2.9678
Nb 2.1401 -5.1165 4.9264
Pb 0.0898 -3.6703 1.2204
Pb 0.3172 -3.2230 6.6738
O -2.0019 -2.9394 1.3314
O -3.6480 -1.1177 2.9529
O 1.9500 -6.2489 3.2581
O 4.0550 -5.7756 4.9413
O 0.2085 -2.3519 3.0007
O -2.3494 -3.4031 4.0057
O 1.4718 -6.6886 6.0142
O -1.5431 -0.6444 4.6361
O 2.7564 -3.4902 3.8885
O -1.0648 -0.2047 1.8800
O 0.1985 -4.5414 4.8935
O 2.4089 -3.9539 6.5628
```


No. 4
DFT (PBE) results for an optimized crystal structure of MgTi3Nb2Pb6O18.

Summary:
E = -0.27105 Ha/atom
calculated volume = 13.06 A^3/atom
ΔE_f (raw) = -2.15 eV per atom
DOS(E_F) = 0.00 states/eV per atom

Structure (extended XYZ):
```
30
Lattice="-3.2393 -0.5230 4.6491 0.1832 -4.2064 -3.8280 10.7427 -5.7546 6.8376" Properties=species:S:1:pos:R:3 pbc="T T T"
Mg 5.3713 -2.8773 3.4188
Ti 6.8931 -6.5673 7.5464
Ti 0.0000 0.0000 0.0000
Ti 0.7935 -3.9166 0.1123
Nb 1.5336 -3.6964 4.1352
Nb 6.1530 -6.7875 3.5235
Pb 8.1197 -4.3495 5.1681
Pb 8.9246 -8.2722 5.2876
Pb -1.2379 -2.2117 2.3711
Pb 2.6230 -1.4050 1.6695
Pb 3.4186 -5.3228 1.7831
Pb 4.2680 -5.1611 5.8756
O 7.2921 -8.5301 7.6036
O 8.8230 -6.1610 7.1923
O 7.2004 -6.4230 9.5212
O 0.3945 -1.9538 0.0551
O -1.1364 -4.3229 0.4664
O 0.4863 -4.0609 -1.8625
O 1.2006 -5.8458 0.1789
O 2.6983 -3.5280 -0.2235
O 1.1108 -3.7844 2.0549
O 1.8415 -5.5985 4.1356
O 3.3620 -3.2454 3.7271
O 1.7503 -3.5056 6.0403
O 5.8452 -4.8854 3.5230
O 4.3246 -7.2385 3.9316
O 5.9364 -6.9783 1.6184
O 6.4860 -4.6382 7.4798
O 4.9884 -6.9559 7.8822
O 6.5758 -6.6996 5.6038
```


No. 5
DFT (PBE) results for an optimized crystal structure of MgTiNb2Pb4O12.

Summary:
E = -0.26831 Ha/atom
calculated volume = 13.78 A^3/atom
ΔE_f (raw) = -2.10 eV per atom
DOS(E_F) = 0.00 states/eV per atom
excess energy over the best structure of this formula in the dataset = 6.1 meV per atom

Structure (extended XYZ):
```
20
Lattice="-5.7606 0.5687 0.2905 -0.5966 -5.8868 -0.3052 0.3590 -0.4513 8.0027" Properties=species:S:1:pos:R:3 pbc="T T T"
Mg -0.2941 -2.9023 -0.1505
Ti -2.7102 -0.0347 4.1418
Nb -3.4708 -5.5428 -0.1569
Nb -0.1281 -3.2612 3.8440
Pb 0.2438 -0.6047 6.0187
Pb -2.9265 -3.2494 6.1460
Pb 0.0616 -0.3756 1.9566
Pb -3.1207 -3.0052 1.8168
O 0.0016 -2.9426 5.7911
O -3.1853 -5.7022 5.8167
O -0.1712 -2.7255 1.9411
O -3.3614 -5.4808 1.8906
O -4.6307 -3.7984 -0.0065
O -1.5481 -1.0703 0.0091
O -4.5508 -4.0247 3.9993
O -1.3884 -1.2944 4.0114
O -1.9838 -4.0597 -0.1400
O -4.4579 -0.7830 0.1558
O -1.7067 -4.3054 3.8559
O -4.2587 -1.0111 4.1562
```


No. 6
DFT (PBE) results for an optimized crystal structure of MgTiNb2Pb4O12.

Summary:
E = -0.26853 Ha/atom
calculated volume = 13.83 A^3/atom
ΔE_f (raw) = -2.11 eV per atom
DOS(E_F) = 0.00 states/eV per atom
excess energy over the best structure of this formula in the dataset = 0.0 meV per atom

Structure (extended XYZ):
```
40
Lattice="8.2939 0.0604 -0.0090 0.0899 8.3090 -0.0750 -4.1775 -4.1047 8.0667" Properties=species:S:1:pos:R:3 pbc="T T T"
Mg 2.1587 6.3261 2.0623
Mg -2.0833 -1.9611 6.1547
Ti 6.1942 2.1411 2.0960
Ti 2.0476 2.1602 6.1140
Nb 2.0204 2.2358 2.0935
Nb 6.3355 6.2875 2.0671
Nb -2.1145 2.2313 6.1148
Nb 2.1267 -2.0249 6.1531
Pb -0.0240 8.1322 0.2084
Pb 4.0038 -0.0293 7.9743
Pb 3.8732 -0.0362 0.1386
Pb 3.9682 4.0749 0.0001
Pb 3.9849 4.1392 3.9159
Pb 3.9966 -0.1092 4.0573
Pb -0.1648 4.1174 4.2478
Pb -0.1225 -0.1641 4.1654
O 2.3421 2.2867 0.1488
O 2.2973 6.5276 0.0040
O 2.3979 4.2591 2.1108
O 2.3063 0.2979 2.1597
O 4.3753 2.3367 2.2024
O 4.4062 6.5611 2.0450
O 4.1446 -1.6587 6.2298
O 4.2966 2.3757 6.0822
O 6.3671 2.4416 0.1388
O 6.4972 6.5183 0.0142
O -1.7908 2.3050 4.0710
O 6.4121 4.4046 2.1272
O -1.9361 -1.7559 4.0965
O -1.7339 4.2789 6.0309
O 6.3608 0.3259 2.0324
O -1.8532 0.3002 6.1783
O 0.1370 2.2959 2.0540
O 0.0905 6.6052 2.0500
O 0.1852 -1.7184 6.1402
O 0.2286 2.3408 6.1024
O 2.2814 2.3897 4.1546
O 2.2569 4.4046 6.1190
O 2.2473 -1.7801 4.1999
O 2.2405 0.3403 6.1663
```


No. 7
DFT (PBE) results for an optimized crystal structure of PmMg2NbO6.

Summary:
E = -0.27974 Ha/atom
calculated volume = 12.24 A^3/atom
ΔE_f (raw) = -2.84 eV per atom
DOS(E_F) = 0.00 states/eV per atom

Structure (extended XYZ):
```
10
Lattice="5.4138 0.0001 0.0003 2.7069 4.6883 0.0000 2.7069 1.5628 4.8244" Properties=species:S:1:pos:R:3 pbc="T T T"
Pm 8.1206 4.6884 2.9487
Mg 5.4137 3.1256 2.1103
Mg 2.7070 1.5629 4.5519
Nb 2.7069 1.5628 0.2815
O 4.4938 1.4804 1.1204
O 4.4488 4.7448 1.1203
O 7.2986 3.1517 1.1206
O 5.9844 4.5351 3.6475
O 6.3493 1.9267 3.6477
O 3.9077 2.9150 3.6476
```


No. 8
DFT (PBE) results for an optimized crystal structure of MgNbPtO6.

Summary:
E = -0.25670 Ha/atom
calculated volume = 11.67 A^3/atom
ΔE_f (raw) = -1.71 eV per atom
DOS(E_F) = 0.65 states/eV per atom

Structure (extended XYZ):
```
18
Lattice="-4.2275 1.6883 -1.3014 -0.5204 -3.6205 -3.0062 -4.0917 -5.0300 6.7663" Properties=species:S:1:pos:R:3 pbc="T T T"
Mg -4.4263 -3.4890 1.2400
Mg -0.0064 -0.0079 0.0107
Nb -3.0760 -1.8292 -0.9928
Nb -2.7479 -3.3780 4.5441
Pt -5.7804 -5.1536 3.4792
Pt -1.3605 -1.6725 2.2498
O -3.2623 -5.1404 0.6977
O -5.5786 -1.8232 1.7629
O -1.4840 -0.6044 -1.3448
O -3.2652 -1.3293 -2.9608
O -1.9551 -3.4416 -1.5051
O -4.2024 -0.2234 -0.4717
O -4.1898 -3.9670 3.2429
O -6.0595 -4.7279 1.5466
O -6.8437 -3.5468 3.9304
O -4.6539 -6.6827 2.9235
O -4.6746 -2.9952 -0.8378
O -2.7312 -2.2043 0.9254
```


No. 9
DFT (PBE) results for an optimized crystal structure of PuMgNbO6.

Summary:
E = -0.32183 Ha/atom
calculated volume = 12.95 A^3/atom
ΔE_f (raw) = -2.56 eV per atom
DOS(E_F) = 0.90 states/eV per atom

Structure (extended XYZ):
```
18
Lattice="5.4653 0.0000 0.0000 -2.7327 4.7331 0.0000 0.0000 0.0000 9.0143" Properties=species:S:1:pos:R:3 pbc="T T T"
Pu 2.7327 1.5777 2.2536
Pu 0.0000 3.1554 6.7607
Mg 0.0000 0.0000 0.0000
Mg 0.0000 0.0000 4.5072
Nb 0.0000 3.1554 2.2536
Nb 2.7327 1.5777 6.7607
O 1.7260 3.1338 1.1906
O -0.8817 1.6714 1.1906
O 1.8884 0.0722 5.6978
O 3.6144 3.0617 7.8237
O 0.8817 1.6714 3.3165
O -1.7260 3.1338 3.3165
O 3.5770 0.0722 7.8237
O 0.8443 4.6610 3.3165
O 4.4587 1.5993 5.6978
O -0.8443 4.6610 1.1906
O 1.8510 3.0617 5.6978
O 1.0067 1.5993 7.8237
```


No. 10
DFT (PBE) results for an optimized crystal structure of Rb2MgNbO4.

Summary:
E = -0.23108 Ha/atom
calculated volume = 18.73 A^3/atom
ΔE_f (raw) = -2.11 eV per atom
DOS(E_F) = 0.15 states/eV per atom

Structure (extended XYZ):
```
8
Lattice="5.8679 -0.0567 -0.0868 -2.5515 5.2844 0.0868 -2.5515 -2.0471 4.8725" Properties=species:S:1:pos:R:3 pbc="T T T"
Rb 0.3824 3.4232 1.2398
Rb 0.0000 0.0000 0.0000
Mg 0.3824 -0.2426 3.6327
Nb -2.5515 1.6186 2.4797
O 1.5455 0.7590 2.3623
O -1.5300 0.1424 3.2270
O 3.3445 2.3723 0.6254
O -1.8305 3.0875 3.5304
```


No. 11
DFT (PBE) results for an optimized crystal structure of RbMgNbO4.

Summary:
E = -0.26042 Ha/atom
calculated volume = 19.95 A^3/atom
ΔE_f (raw) = -2.45 eV per atom
DOS(E_F) = 0.00 states/eV per atom

Structure (extended XYZ):
```
14
Lattice="5.5911 0.0000 -0.9332 0.0000 5.9163 0.0000 -3.3792 0.0000 9.0086" Properties=species:S:1:pos:R:3 pbc="T T T"
Rb -1.6446 4.4372 8.2291
Rb 3.8565 1.4791 -0.1537
Mg 3.2382 4.4372 3.4603
Mg -1.0263 1.4791 4.6151
Nb -0.1953 4.4372 2.3598
Nb 2.4072 1.4791 5.7157
O 3.2122 2.9067 4.7560
O -1.0003 5.8649 3.3194
O -1.0003 3.0096 3.3194
O 3.2122 0.0514 4.7560
O 4.7120 4.4372 -0.2810
O -2.5001 1.4791 8.3564
O 1.6714 4.4372 2.2802
O 0.5405 1.4791 5.7952
```


No. 12
DFT (PBE) results for an optimized crystal structure of MgNbRu2O.

Summary:
E = -0.26607 Ha/atom
calculated volume = 14.44 A^3/atom
ΔE_f (raw) = -0.21 eV per atom
DOS(E_F) = 1.07 states/eV per atom

Structure (extended XYZ):
```
5
Lattice="4.1797 0.0000 0.0000 0.0000 4.1334 0.0000 0.0000 0.0000 4.1797" Properties=species:S:1:pos:R:3 pbc="T T T"
Ru 0.0000 0.0000 2.0898
Ru 2.0898 0.0000 0.0000
Nb 0.0000 2.0667 0.0000
Mg 2.0898 2.0667 2.0898
O 0.0000 0.0000 0.0000
```


No. 13
DFT (PBE) results for an optimized crystal structure of MgNbSbO6.

Summary:
E = -0.26240 Ha/atom
calculated volume = 12.23 A^3/atom
ΔE_f (raw) = -2.08 eV per atom
DOS(E_F) = 0.00 states/eV per atom

Structure (extended XYZ):
```
18
Lattice="5.2616 0.0000 0.0000 -2.6308 4.5567 0.0000 0.0000 0.0000 9.1825" Properties=species:S:1:pos:R:3 pbc="T T T"
Mg 0.0000 0.0000 0.0000
Mg 0.0000 0.0000 4.5912
Nb 2.6308 1.5189 2.2956
Nb 0.0000 3.0378 6.8869
Sb 0.0000 3.0378 2.2956
Sb 2.6308 1.5189 6.8869
O 1.6995 2.9613 1.2178
O -0.9159 1.6042 1.2178
O 1.8472 0.0089 5.8090
O 3.5467 2.9525 7.9647
O 0.9159 1.6042 3.3735
O -1.6995 2.9613 3.3735
O 3.4143 0.0089 7.9647
O 0.7835 4.5478 3.3735
O 4.3303 1.5953 5.8090
O -0.7835 4.5478 1.2178
O 1.7148 2.9525 5.8090
O 0.9313 1.5953 7.9647
```


No. 14
DFT (PBE) results for an optimized crystal structure of Mg2Nb2SbO8.

Summary:
E = -0.27335 Ha/atom
calculated volume = 12.53 A^3/atom
ΔE_f (raw) = -2.28 eV per atom
DOS(E_F) = 0.30 states/eV per atom

Structure (extended XYZ):
```
26
Lattice="2.9907 10.1998 -0.0250 -2.9907 10.1998 -0.0250 0.0000 0.3815 5.3392" Properties=species:S:1:pos:R:3 pbc="T T T"
Mg 0.8868 5.9015 5.2727
Mg 0.8868 14.8795 0.0166
Mg -0.8900 15.0694 2.6860
Mg -0.8900 5.7116 2.6032
Nb -1.9859 12.7246 0.0976
Nb -1.9859 8.0564 5.1917
Nb 1.9858 7.8642 2.5230
Nb 1.9858 12.9168 2.7663
Sb 1.0526 10.1998 -0.0250
Sb -1.0495 10.3905 2.6446
O -2.5009 12.0435 3.8823
O -2.5009 8.7375 1.4069
O 2.5002 8.9294 4.0771
O 2.5002 11.8517 1.2121
O -0.5723 11.4585 0.7349
O -0.5723 9.3226 4.5543
O 0.5729 9.1333 1.8847
O 0.5729 11.6477 3.4045
O 0.6324 3.9443 1.6424
O 0.6324 16.8368 3.6468
O 0.8319 14.3409 1.9895
O 0.8319 6.4401 3.2998
O -0.8347 6.2489 0.6303
O -0.8347 14.5322 4.6589
O -0.6351 4.1360 4.3116
O -0.6351 16.6451 0.9776
```


No. 15
DFT (PBE) results for an optimized crystal structure of Mg6NbSnO8.

Summary:
E = -0.21973 Ha/atom
calculated volume = 11.45 A^3/atom
ΔE_f (raw) = -2.02 eV per atom
DOS(E_F) = 0.19 states/eV per atom
excess energy over the best structure of this formula in the dataset = 38.9 meV per atom

Structure (extended XYZ):
```
16
Lattice="4.4965 0.0000 0.0000 0.0000 4.4965 0.0000 0.0000 0.0000 9.0648" Properties=species:S:1:pos:R:3 pbc="T T T"
Mg 2.2482 2.2482 0.0000
Mg 2.2482 2.2482 4.5324
Mg 0.0000 2.2482 2.3136
Mg 0.0000 2.2482 6.7512
Mg 2.2482 0.0000 2.3136
Mg 2.2482 0.0000 6.7512
Nb 0.0000 0.0000 4.5324
Sn 0.0000 0.0000 0.0000
O 0.0000 0.0000 2.3516
O 0.0000 0.0000 6.7132
O 2.2482 2.2482 2.2796
O 2.2482 2.2482 6.7852
O 0.0000 2.2482 0.0000
O 0.0000 2.2482 4.5324
O 2.2482 0.0000 0.0000
O 2.2482 0.0000 4.5324
```


No. 16
DFT (PBE) results for an optimized crystal structure of MgNbSnO6.

Summary:
E = -0.25979 Ha/atom
calculated volume = 12.30 A^3/atom
ΔE_f (raw) = -2.02 eV per atom
DOS(E_F) = 0.52 states/eV per atom

Structure (extended XYZ):
```
18
Lattice="4.8386 0.0000 0.0000 0.0000 4.8386 0.0000 0.0000 0.0000 9.4550" Properties=species:S:1:pos:R:3 pbc="T T T"
Mg 2.4193 2.4193 4.7329
Mg 0.0000 0.0000 0.0054
Nb 2.4193 2.4193 1.6393
Nb 0.0000 0.0000 6.3668
Sn 2.4193 2.4193 7.8747
Sn 0.0000 0.0000 3.1472
O 0.9288 3.9098 4.7804
O 3.9098 0.9288 4.7804
O 1.4905 1.4905 0.0528
O 3.3481 3.3481 0.0528
O 0.9816 3.8570 1.5795
O 3.8570 0.9816 1.5795
O 1.4377 1.4377 6.3070
O 3.4009 3.4009 6.3070
O 3.8855 0.9531 7.7905
O 0.9531 3.8855 7.7905
O 3.3724 3.3724 3.0630
O 1.4662 1.4662 3.0630
```